Record 1
# AlPd2S | Alexandria via LeMat-Bulk | GGA-PBE | optimized geometry
# Formation energy without anion corrections: -0.322 eV per atom
data_AlPd2S
_space_group_name_H-M_alt 'I -4 2 d'
_space_group_IT_number 122
_space_group_name_Hall 'I -4 2bw'
_cell_length_a 4.0089
_cell_length_b 4.0089
_cell_length_c 16.4083
_cell_angle_alpha 90.00
_cell_angle_beta 90.00
_cell_angle_gamma 90.00
loop_
_atom_site_label
_atom_site_type_symbol
_atom_site_fract_x
_atom_site_fract_y
_atom_site_fract_z
Al1 Al 0.0000 0.0000 0.0000
Pd1 Pd 0.2397 0.2500 0.6250
S1 S 0.0000 0.0000 0.5000


Record 2
# Sm3CdIn2 | Alexandria via LeMat-Bulk | GGA-PBE | optimized geometry
# Energy of formation from the pure elements: -2.6 eV/f.u.
data_Sm3CdIn2
_space_group_name_H-M_alt 'P 4/m m m'
_space_group_IT_number 123
_space_group_name_Hall '-P 4 2'
_cell_length_a 3.7904
_cell_length_b 3.7904
_cell_length_c 11.7099
_cell_angle_alpha 90.00
_cell_angle_beta 90.00
_cell_angle_gamma 90.00
loop_
_atom_site_label
_atom_site_type_symbol
_atom_site_fract_x
_atom_site_fract_y
_atom_site_fract_z
Sm1 Sm 0.0000 0.0000 0.0000
Sm2 Sm 0.0000 0.0000 0.3371
Cd1 Cd 0.5000 0.5000 0.5000
In1 In 0.5000 0.5000 0.1714


Record 3
# Li2GaTcH | Alexandria via LeMat-Bulk | GGA-PBE | optimized geometry
# E_tot: -3.988 eV/atom
data_Li2GaTcH
_space_group_name_H-M_alt 'P 4/m m m'
_space_group_IT_number 123
_space_group_name_Hall '-P 4 2'
_cell_length_a 3.6178
_cell_length_b 3.6178
_cell_length_c 4.6530
_cell_angle_alpha 90.00
_cell_angle_beta 90.00
_cell_angle_gamma 90.00
loop_
_atom_site_label
_atom_site_type_symbol
_atom_site_fract_x
_atom_site_fract_y
_atom_site_fract_z
Li1 Li 0.0000 0.5000 0.0000
Ga1 Ga 0.0000 0.0000 0.5000
Tc1 Tc 0.5000 0.5000 0.5000
H1 H 0.0000 0.0000 0.0000


Record 4
# Pu3Cl3F4 | Alexandria via LeMat-Bulk | GGA-PBE | optimized geometry
# Formation energy without anion corrections: -2.704 eV per atom
data_Pu3Cl3F4
_space_group_name_H-M_alt 'I -4 3 d'
_space_group_IT_number 220
_space_group_name_Hall 'I -4bd 2c 3'
_cell_length_a 9.3233
_cell_length_b 9.3233
_cell_length_c 9.3233
_cell_angle_alpha 90.00
_cell_angle_beta 90.00
_cell_angle_gamma 90.00
loop_
_atom_site_label
_atom_site_type_symbol
_atom_site_fract_x
_atom_site_fract_y
_atom_site_fract_z
Pu1 Pu 0.0000 0.2500 0.3750
Cl1 Cl 0.0000 0.2500 0.8750
F1 F 0.0665 0.4335 0.5665


Record 5
# ErTe2 | Alexandria via LeMat-Bulk | GGA-PBE | optimized geometry
# Formation energy without anion corrections: -1.093 eV per atom
data_ErTe2
_space_group_name_H-M_alt 'P b c m'
_space_group_IT_number 57
_space_group_name_Hall '-P 2c 2b'
_cell_length_a 7.6171
_cell_length_b 8.0992
_cell_length_c 6.0195
_cell_angle_alpha 90.00
_cell_angle_beta 90.00
_cell_angle_gamma 90.00
loop_
_atom_site_label
_atom_site_type_symbol
_atom_site_fract_x
_atom_site_fract_y
_atom_site_fract_z
Er1 Er 0.2460 0.0610 0.2500
Te1 Te 0.0742 0.7500 0.0000
Te2 Te 0.3926 0.0947 0.7500


Record 6
# AgSn2Te4 | Alexandria via LeMat-Bulk | GGA-PBE | optimized geometry
# Formation energy without anion corrections: 0.124 eV per atom
data_AgSn2Te4
_space_group_name_H-M_alt 'F m m m'
_space_group_IT_number 69
_space_group_name_Hall '-F 2 2'
_cell_length_a 6.1943
_cell_length_b 9.3658
_cell_length_c 16.9006
_cell_angle_alpha 90.00
_cell_angle_beta 90.00
_cell_angle_gamma 90.00
loop_
_atom_site_label
_atom_site_type_symbol
_atom_site_fract_x
_atom_site_fract_y
_atom_site_fract_z
Ag1 Ag 0.0000 0.0000 0.0000
Sn1 Sn 0.0000 0.0000 0.3515
Te1 Te 0.0000 0.0000 0.1800
Te2 Te 0.2500 0.2500 0.0000